## Sr2HoPuS4 (PBE)

Data for an optimized crystal structure of Sr2HoPuS4.

Structure (POSCAR):
```
Sr2HoPuS4
1.0
-2.771 -0.352 -2.951
2.299 -6.510 -1.383
-5.204 -0.339 4.928
Sr Ho S Pu
2 1 4 1
Direct
0.000 0.500 0.500
0.500 0.000 0.500
0.500 0.500 0.000
0.500 0.248 0.230
0.500 0.752 0.770
0.000 0.738 0.229
0.000 0.262 0.771
0.000 0.000 0.000
```

Values from the calculation:
- mass density (Mg/m³) = 6.1
- E_tot (eV per atom) = -6.80
- energy relative to the elements, uncorrected (meV per atom) = -1956
- symmetry = P2/m, No. 10

***

## SrHo4PuS8 (PBE)

Data for an optimized crystal structure of SrHo4PuS8.

Structure (POSCAR):
```
SrHo4PuS8
1.0
8.147 0.000 0.000
4.074 7.056 0.000
4.074 2.352 6.720
Pu Ho Sr S
1 4 1 8
Direct
0.000 0.000 0.000
0.002 0.002 0.502
0.624 0.624 0.127
0.002 0.494 0.502
0.494 0.002 0.502
0.376 0.376 0.873
0.240 0.794 0.727
0.236 0.236 0.291
0.757 0.757 0.728
0.794 0.240 0.727
0.752 0.231 0.266
0.752 0.752 0.266
0.231 0.752 0.266
0.240 0.240 0.727
```

Values from the calculation:
- mass density (Mg/m³) = 5.4
- E_tot (eV per atom) = -6.74
- energy relative to the elements, uncorrected (meV per atom) = -1928
- symmetry = R3m, No. 160

***

## Tb3Ho2PuS6 (PBE)

Data for an optimized crystal structure of Tb3Ho2PuS6.

Structure (POSCAR):
```
Tb3Ho2PuS6
1.0
3.900 0.000 0.000
0.000 7.854 0.282
-1.950 -2.261 8.232
Tb S Pu Ho
3 6 1 2
Direct
0.165 0.836 0.330
0.835 0.164 0.670
0.500 0.500 0.000
0.331 0.419 0.663
0.999 0.748 0.998
0.001 0.252 0.002
0.668 0.087 0.336
0.332 0.913 0.664
0.669 0.581 0.337
0.500 0.000 0.000
0.836 0.671 0.672
0.164 0.329 0.328
```

Values from the calculation:
- mass density (Mg/m³) = 8.1
- E_tot (eV per atom) = -7.16
- energy relative to the elements, uncorrected (meV per atom) = -1981
- symmetry = C2/m, No. 12

***

## TbHo4Pu3S8 (PBE)

Data for an optimized crystal structure of TbHo4Pu3S8.

Structure (POSCAR):
```
TbHo4Pu3S8
1.0
-1.630 -6.149 -4.535
4.046 -4.654 4.856
-5.791 4.438 2.793
S Ho Pu Tb
8 4 3 1
Direct
0.247 0.245 0.996
0.753 0.755 0.004
0.251 0.755 0.503
0.251 0.755 0.004
0.749 0.245 0.996
0.749 0.245 0.497
0.248 0.245 0.497
0.752 0.755 0.503
0.000 0.000 0.000
0.500 0.000 0.000
0.500 0.000 0.500
0.000 0.000 0.500
0.500 0.500 0.000
0.000 0.500 0.500
0.500 0.500 0.500
0.000 0.500 0.000
```

Values from the calculation:
- mass density (Mg/m³) = 8.8
- E_tot (eV per atom) = -8.12
- energy relative to the elements, uncorrected (meV per atom) = -1931
- symmetry = R-3m, No. 166